1.
Here is crystalline CaMg3Sn2 at its relaxed geometry from Alexandria via LeMat-Bulk. Energies are from GGA-PBE.

Cell and atoms, written as extended XYZ:
```
18
Lattice="9.4889 -2.2485 0.0000 9.4889 2.2485 0.0000 -2.9347 0.0000 11.1466" Properties=species:S:1:pos:R:3 pbc="T T T"
Ca 0.0000 0.0000 0.0000
Ca 0.8438 0.0000 7.8109
Ca 15.1993 0.0000 3.3357
Mg -0.2647 0.0000 3.9039
Mg 2.8767 0.0000 4.3482
Mg 6.0338 0.0000 0.3106
Mg 4.9123 0.0000 8.8180
Mg 8.0215 0.0000 5.5733
Mg 11.1308 0.0000 2.3286
Mg 10.0093 0.0000 10.8360
Mg 13.1664 0.0000 6.7983
Mg 16.3078 0.0000 7.2427
Sn 3.3664 0.0000 1.5294
Sn 5.2500 0.0000 5.8578
Sn 8.1630 0.0000 2.2693
Sn 7.8800 0.0000 8.8772
Sn 10.7931 0.0000 5.2888
Sn 12.6767 0.0000 9.6172
```

Summary:
distance to the lowest polymorph of the same formula: 0.00 eV/f.u.
D(E_F): 5.334 states/eV/cell

---

2.
Here is crystalline Ag2Bi2S5 at its relaxed geometry from Alexandria via LeMat-Bulk. Energies are from GGA-PBE.

Cell and atoms, written as extended XYZ:
```
9
Lattice="8.0025 -2.0516 0.0000 8.0025 2.0516 0.0000 -0.6790 0.0000 6.9276" Properties=species:S:1:pos:R:3 pbc="T T T"
Ag 2.1248 0.0000 2.5764
Ag 13.2011 0.0000 4.3512
Bi 6.8660 0.0000 1.3587
Bi 8.4599 0.0000 5.5689
S -0.3395 0.0000 3.4638
S 2.1761 0.0000 0.0443
S 4.8060 0.0000 2.9392
S 10.5200 0.0000 3.9884
S 13.1498 0.0000 6.8833
```

Summary:
formation energy (no corrections): -0.047 eV/atom
D(E_F): 4.249 states/eV/cell

---

3.
Here is crystalline Be2SeCl at its relaxed geometry from Alexandria via LeMat-Bulk. Energies are from GGA-PBE.

Cell and atoms, written as extended XYZ:
```
4
Lattice="1.6311 -3.5352 0.0000 1.6311 3.5352 0.0000 0.0000 0.0000 6.5084" Properties=species:S:1:pos:R:3 pbc="T T T"
Be 0.0000 0.0000 1.5071
Be 0.0000 0.0000 5.0013
Se 1.6311 0.0000 0.0000
Cl 1.6311 0.0000 3.2542
```

Summary:
formation energy (no corrections): 0.063 eV/atom
distance to the lowest polymorph of the same formula: 1.89 eV/f.u.
D(E_F): 0.946 states/eV/cell

---

4.
Here is crystalline MnMo3 at its relaxed geometry from Alexandria via LeMat-Bulk. Energies are from GGA-PBE.

Cell and atoms, written as extended XYZ:
```
4
Lattice="2.6834 0.0000 0.0000 0.0000 4.3871 0.0000 -0.8642 0.0000 5.0795" Properties=species:S:1:pos:R:3 pbc="T T T"
Mn 0.0000 0.0000 0.0000
Mo 0.0451 2.1936 3.8311
Mo 0.9096 0.0000 2.5398
Mo 1.7740 2.1936 1.2484
```

Summary:
energy: -41.34 eV per cell
D(E_F): 3.507 states/eV/cell

---

5.
Here is crystalline Na2YCdF8 at its relaxed geometry from Alexandria via LeMat-Bulk. Energies are from GGA-PBE.

Cell and atoms, written as extended XYZ:
```
12
Lattice="3.8390 0.0000 0.0000 0.0000 5.5359 0.0000 0.0000 0.0000 7.7511" Properties=species:S:1:pos:R:3 pbc="T T T"
Na 0.0000 0.0000 1.9078
Na 0.0000 0.0000 5.8434
Y 1.9195 2.7680 3.8756
Cd 1.9195 2.7680 0.0000
F 0.0000 1.4566 0.0000
F 0.0000 1.4839 3.8756
F 0.0000 4.0520 3.8756
F 0.0000 4.0793 0.0000
F 1.9195 1.4657 1.9934
F 1.9195 1.4657 5.7578
F 1.9195 4.0702 1.9934
F 1.9195 4.0702 5.7578
```

Summary:
formation energy (no corrections): -2.826 eV/atom
D(E_F): 11.047 states/eV/cell

---

6.
Here is crystalline La2AgAs2 at its relaxed geometry from Alexandria via LeMat-Bulk. Energies are from GGA-PBE.

Cell and atoms, written as extended XYZ:
```
10
Lattice="8.0152 0.0000 0.0000 0.0000 8.0152 0.0000 0.0000 0.0000 4.0437" Properties=species:S:1:pos:R:3 pbc="T T T"
La 1.2266 2.7810 0.0000
La 2.7810 6.7886 0.0000
La 5.2342 1.2266 0.0000
La 6.7886 5.2342 0.0000
Ag 0.0000 0.0000 2.0219
Ag 4.0076 4.0076 2.0219
As 1.2679 5.2755 2.0219
As 2.7397 1.2679 2.0219
As 5.2755 6.7473 2.0219
As 6.7473 2.7397 2.0219
```

Summary:
distance to the lowest polymorph of the same formula: 0.00 eV/f.u.
D(E_F): 6.071 states/eV/cell